La2HoErSb4: relaxed, PBE-GGA.

abc: 4.503 7.764 7.795
angles: 70.44 90.00 90.00
Sites, in units of the cell vectors:
La: 0.000 0.000 0.000
La: 0.500 0.000 0.500
Ho: 0.000 0.500 0.500
Er: 0.500 0.500 0.000
Sb: 0.000 0.735 0.756
Sb: 0.000 0.265 0.244
Sb: 0.500 0.735 0.254
Sb: 0.500 0.265 0.746

Results
mass density: 7.1 g/cm³
space group: P2/m, No. 10
uncorrected formation energy: -1.19 eV per atom


LaHo6Er2Sc3: relaxed, PBE-GGA.

abc: 6.037 6.037 11.472
angles: 95.03 95.03 119.99
Sites, in units of the cell vectors:
La: 0.000 0.000 0.000
Ho: 0.913 0.578 0.739
Ho: 0.753 0.753 0.261
Ho: 0.087 0.422 0.261
Ho: 0.578 0.913 0.739
Ho: 0.247 0.247 0.739
Ho: 0.422 0.087 0.261
Er: 0.333 0.667 0.000
Er: 0.667 0.333 0.000
Sc: 0.167 0.833 0.500
Sc: 0.833 0.167 0.500
Sc: 0.500 0.500 0.500

Results
mass density: 7.4 g/cm³
space group: C2/m, No. 12
energy of formation: 0.049 eV/atom


LaHo3ErSc: relaxed, PBE-GGA.

abc: 4.961 7.857 10.010
angles: 90.00 90.00 108.40
Sites, in units of the cell vectors:
La: 0.497 0.994 0.750
La: 0.503 0.006 0.250
Ho: 0.669 0.337 0.501
Ho: 0.331 0.663 0.499
Ho: 0.331 0.663 0.001
Ho: 0.669 0.337 0.999
Ho: 0.171 0.343 0.750
Ho: 0.829 0.657 0.250
Er: 0.000 0.000 0.500
Er: 0.000 0.000 0.000
Sc: 0.830 0.660 0.750
Sc: 0.170 0.340 0.250

Results
mass density: 7.6 g/cm³
space group: Cmcm, No. 63
energy of formation: 0.050 eV/atom


La2HoEr5Sc: relaxed, PBE-GGA.

abc: 5.558 10.296 10.428
angles: 90.00 90.00 105.66
Sites, in units of the cell vectors:
La: 0.886 0.772 0.814
La: 0.115 0.231 0.735
La: 0.114 0.228 0.314
La: 0.885 0.769 0.235
Ho: 0.591 0.182 0.962
Ho: 0.409 0.818 0.462
Er: 0.376 0.752 0.019
Er: 0.724 0.448 0.819
Er: 0.483 0.966 0.740
Er: 0.298 0.595 0.702
Er: 0.984 0.969 0.519
Er: 0.624 0.248 0.519
Er: 0.276 0.552 0.319
Er: 0.517 0.034 0.240
Er: 0.702 0.405 0.202
Er: 0.016 0.031 0.019
Sc: 0.803 0.605 0.514
Sc: 0.197 0.395 0.014

Results
mass density: 7.7 g/cm³
space group: Cmc2_1, No. 36
energy of formation: 0.155 eV/atom


La3Ho6Er2Sc: relaxed, PBE-GGA.

abc: 6.163 6.163 11.769
angles: 95.01 95.01 120.02
Sites, in units of the cell vectors:
La: 0.167 0.833 0.500
La: 0.833 0.167 0.500
La: 0.500 0.500 0.500
Ho: 0.920 0.589 0.759
Ho: 0.749 0.749 0.241
Ho: 0.080 0.411 0.241
Ho: 0.589 0.920 0.759
Ho: 0.251 0.251 0.759
Ho: 0.411 0.080 0.241
Er: 0.334 0.666 0.000
Er: 0.666 0.334 0.000
Sc: 0.000 0.000 0.000

Results
mass density: 7.8 g/cm³
space group: C2/m, No. 12
energy of formation: 0.036 eV/atom


LaHoErSc: relaxed, PBE-GGA.

abc: 5.594 5.594 5.594
angles: 60.00 60.00 60.00
Sites, in units of the cell vectors:
Sc: 0.000 0.000 0.000
La: 0.750 0.750 0.750
Ho: 0.250 0.250 0.250
Er: 0.500 0.500 0.500

Results
mass density: 6.9 g/cm³
space group: F-43m, No. 216
energy of formation: 0.099 eV/atom


LaHo2Er4Sc: relaxed, PBE-GGA.

abc: 9.333 9.333 11.553
angles: 128.24 128.24 88.62
Each line ends with the local moment (μB).
Sites, in units of the cell vectors:
La: 0.500 0.500 0.500  0.07
La: 0.000 0.000 0.000  0.07
Ho: 0.500 0.000 0.000  0.16
Ho: 0.500 0.000 0.500  0.16
Ho: 0.000 0.000 0.500  0.09
Ho: 0.500 0.500 0.000  0.09
Er: 0.244 0.744 0.994  0.12
Er: 0.756 0.256 0.506  0.12
Er: 0.244 0.744 0.494  0.12
Er: 0.756 0.256 0.006  0.12
Er: 0.757 0.741 0.000  0.14
Er: 0.759 0.743 0.500  0.14
Er: 0.241 0.257 0.500  0.14
Er: 0.243 0.259 0.000  0.14
Sc: 0.000 0.500 0.000  0.22
Sc: 0.000 0.500 0.500  0.22

Results
mass density: 7.8 g/cm³
space group: C2/c, No. 15
energy of formation: 0.434 eV/atom


La2Ho5ErSc: relaxed, PBE-GGA.

abc: 5.561 10.364 10.417
angles: 90.00 90.00 105.56
Sites, in units of the cell vectors:
La: 0.886 0.772 0.814
La: 0.116 0.231 0.735
La: 0.114 0.228 0.314
La: 0.884 0.769 0.235
Ho: 0.375 0.750 0.019
Ho: 0.725 0.449 0.819
Ho: 0.484 0.968 0.741
Ho: 0.297 0.595 0.701
Ho: 0.985 0.969 0.518
Ho: 0.625 0.250 0.519
Ho: 0.275 0.551 0.319
Ho: 0.516 0.032 0.241
Ho: 0.703 0.405 0.201
Ho: 0.015 0.031 0.018
Er: 0.592 0.185 0.962
Er: 0.408 0.815 0.462
Sc: 0.803 0.606 0.514
Sc: 0.197 0.394 0.014

Results
mass density: 7.5 g/cm³
space group: Cmc2_1, No. 36
energy of formation: 0.153 eV/atom


La2Ho6Er3Sc: relaxed, PBE-GGA.

abc: 6.120 6.120 11.732
angles: 94.98 94.98 120.00
Sites, in units of the cell vectors:
La: 0.334 0.666 0.000
La: 0.666 0.334 0.000
Ho: 0.916 0.586 0.747
Ho: 0.754 0.754 0.254
Ho: 0.084 0.414 0.253
Ho: 0.586 0.916 0.747
Ho: 0.246 0.246 0.746
Ho: 0.414 0.084 0.253
Er: 0.166 0.834 0.500
Er: 0.834 0.166 0.500
Er: 0.500 0.500 0.500
Sc: 0.000 0.000 0.000

Results
mass density: 8.0 g/cm³
space group: C2/m, No. 12
energy of formation: 0.032 eV/atom


LaHoErSc: relaxed, PBE-GGA.

abc: 3.816 5.656 6.674
angles: 115.07 73.36 90.00
Sites, in units of the cell vectors:
La: 0.418 0.141 0.281
Ho: 0.655 0.410 0.820
Er: 0.192 0.873 0.745
Sc: 0.921 0.642 0.283

Results
mass density: 6.9 g/cm³
space group: Cm, No. 8
energy of formation: 0.089 eV/atom